# MgZr2Sc, relaxed, DFT PBE-GGA
# Electronic total energy (eV per atom): -5.83
# SG: I-42d, No. 122
# Fermi-level density of states (states/eV/atom): 1.337
# DFT formation energy (kcal/mol of atoms): 9.796
data_MgZr2Sc
_cell_length_a 4.188
_cell_length_b 4.188
_cell_length_c 11.274
_cell_angle_alpha 79.30
_cell_angle_beta 79.30
_cell_angle_gamma 90.00
_space_group_name_H-M_alt 'P 1'
_space_group_IT_number 1
_space_group_name_Hall 'P 1'
loop_
_atom_site_label
_atom_site_type_symbol
_atom_site_fract_x
_atom_site_fract_y
_atom_site_fract_z
Sc1 Sc 0.750 0.250 0.500
Zr1 Zr 0.129 0.625 0.250
Zr2 Zr 0.375 0.379 0.750
Mg1 Mg 0.500 0.500 0.000
Zr3 Zr 0.875 0.871 0.750
Mg2 Mg 0.250 0.750 0.500
Zr4 Zr 0.621 0.125 0.250
Sc2 Sc 0.000 0.000 0.000


# Mg4ZrSc2, relaxed, DFT PBE-GGA
# Electronic total energy (eV per atom): -3.75
# SG: Pbam, No. 55
# Fermi-level density of states (states/eV/atom): 0.841
# DFT formation energy (kcal/mol of atoms): 4.405
data_Mg4ZrSc2
_cell_length_a 4.577
_cell_length_b 6.662
_cell_length_c 11.071
_cell_angle_alpha 90.00
_cell_angle_beta 90.00
_cell_angle_gamma 90.00
_space_group_name_H-M_alt 'P 1'
_space_group_IT_number 1
_space_group_name_Hall 'P 1'
loop_
_atom_site_label
_atom_site_type_symbol
_atom_site_fract_x
_atom_site_fract_y
_atom_site_fract_z
Zr1 Zr 0.000 0.000 0.500
Sc1 Sc 0.500 0.888 0.317
Mg1 Mg 0.500 0.693 0.552
Mg2 Mg 0.500 0.193 0.948
Zr2 Zr 0.000 0.500 0.000
Sc2 Sc 0.500 0.112 0.683
Sc3 Sc 0.500 0.612 0.817
Mg3 Mg 0.500 0.307 0.448
Mg4 Mg 0.000 0.079 0.155
Mg5 Mg 0.500 0.807 0.052
Mg6 Mg 0.000 0.921 0.845
Sc4 Sc 0.500 0.388 0.183
Mg7 Mg 0.000 0.579 0.345
Mg8 Mg 0.000 0.421 0.655


# MgZr2Sc9, relaxed, DFT PBE-GGA
# Electronic total energy (eV per atom): -6.29
# SG: P4/mmm, No. 123
# Fermi-level density of states (states/eV/atom): 1.414
# DFT formation energy (kcal/mol of atoms): 0.399
data_MgZr2Sc9
_cell_length_a 4.575
_cell_length_b 4.575
_cell_length_c 13.715
_cell_angle_alpha 90.00
_cell_angle_beta 90.00
_cell_angle_gamma 90.00
_space_group_name_H-M_alt 'P 1'
_space_group_IT_number 1
_space_group_name_Hall 'P 1'
loop_
_atom_site_label
_atom_site_type_symbol
_atom_site_fract_x
_atom_site_fract_y
_atom_site_fract_z
Zr1 Zr 0.000 0.000 0.335
Zr2 Zr 0.000 0.000 0.665
Mg1 Mg 0.000 0.000 0.000
Sc1 Sc 0.500 0.500 0.670
Sc2 Sc 0.500 0.000 0.500
Sc3 Sc 0.500 0.000 0.173
Sc4 Sc 0.000 0.500 0.827
Sc5 Sc 0.500 0.500 0.330
Sc6 Sc 0.000 0.500 0.173
Sc7 Sc 0.500 0.500 0.000
Sc8 Sc 0.000 0.500 0.500
Sc9 Sc 0.500 0.000 0.827


# Mg2ZrSc, relaxed, DFT PBE-GGA
# Electronic total energy (eV per atom): -4.58
# SG: P4mm, No. 99
# Fermi-level density of states (states/eV/atom): 0.517
# DFT formation energy (kcal/mol of atoms): -1.530
data_Mg2ZrSc
_cell_length_a 3.231
_cell_length_b 3.231
_cell_length_c 8.868
_cell_angle_alpha 90.00
_cell_angle_beta 90.00
_cell_angle_gamma 90.00
_space_group_name_H-M_alt 'P 1'
_space_group_IT_number 1
_space_group_name_Hall 'P 1'
loop_
_atom_site_label
_atom_site_type_symbol
_atom_site_fract_x
_atom_site_fract_y
_atom_site_fract_z
Zr1 Zr 0.500 0.500 0.747
Mg1 Mg 0.500 0.500 0.245
Mg2 Mg 0.000 0.000 0.001
Sc1 Sc 0.000 0.000 0.507


# MgZr2Sc, relaxed, DFT PBE-GGA
# Electronic total energy (eV per atom): -6.21
# SG: R-3m, No. 166
# Fermi-level density of states (states/eV/atom): 1.567
# DFT formation energy (kcal/mol of atoms): 1.093
data_MgZr2Sc
_cell_length_a 10.986
_cell_length_b 10.986
_cell_length_c 10.986
_cell_angle_alpha 16.42
_cell_angle_beta 16.42
_cell_angle_gamma 16.42
_space_group_name_H-M_alt 'P 1'
_space_group_IT_number 1
_space_group_name_Hall 'P 1'
loop_
_atom_site_label
_atom_site_type_symbol
_atom_site_fract_x
_atom_site_fract_y
_atom_site_fract_z
Mg1 Mg 0.250 0.250 0.250
Sc1 Sc 0.750 0.750 0.750
Zr1 Zr 0.499 0.499 0.499
Zr2 Zr 0.001 0.001 0.001


# MgZrSc3, relaxed, DFT PBE-GGA
# Electronic total energy (eV per atom): -5.77
# SG: P2/c, No. 13
# Fermi-level density of states (states/eV/atom): 1.334
# Polymorph energy (0 for the lowest one) (eV/atom): 0.000
# DFT formation energy (kcal/mol of atoms): 1.398
data_MgZrSc3
_cell_length_a 3.229
_cell_length_b 6.183
_cell_length_c 12.971
_cell_angle_alpha 90.00
_cell_angle_beta 90.00
_cell_angle_gamma 69.38
_space_group_name_H-M_alt 'P 1'
_space_group_IT_number 1
_space_group_name_Hall 'P 1'
loop_
_atom_site_label
_atom_site_type_symbol
_atom_site_fract_x
_atom_site_fract_y
_atom_site_fract_z
Sc1 Sc 0.250 0.750 0.377
Sc2 Sc 0.618 0.011 0.191
Sc3 Sc 0.118 0.511 0.809
Sc4 Sc 0.750 0.250 0.623
Mg1 Mg 0.750 0.750 0.595
Zr1 Zr 0.750 0.250 0.978
Zr2 Zr 0.250 0.750 0.022
Mg2 Mg 0.250 0.250 0.405
Sc5 Sc 0.882 0.489 0.191
Sc6 Sc 0.382 0.989 0.809


# Mg2ZrSc, relaxed, DFT PBE-GGA
# Electronic total energy (eV per atom): -4.10
# SG: I-42d, No. 122
# Fermi-level density of states (states/eV/atom): 1.270
# DFT formation energy (kcal/mol of atoms): 9.581
data_Mg2ZrSc
_cell_length_a 8.121
_cell_length_b 8.121
_cell_length_c 6.408
_cell_angle_alpha 50.68
_cell_angle_beta 50.68
_cell_angle_gamma 90.00
_space_group_name_H-M_alt 'P 1'
_space_group_IT_number 1
_space_group_name_Hall 'P 1'
loop_
_atom_site_label
_atom_site_type_symbol
_atom_site_fract_x
_atom_site_fract_y
_atom_site_fract_z
Mg1 Mg 0.375 0.379 0.750
Mg2 Mg 0.875 0.871 0.750
Mg3 Mg 0.621 0.125 0.250
Zr1 Zr 0.750 0.250 0.500
Sc1 Sc 0.250 0.750 0.500
Mg4 Mg 0.129 0.625 0.250
Sc2 Sc 0.500 0.500 0.000
Zr2 Zr 0.000 0.000 0.000


# MgZr2Sc2, relaxed, DFT PBE-GGA
# Electronic total energy (eV per atom): -6.28
# SG: P-3m1, No. 164
# Fermi-level density of states (states/eV/atom): 1.399
# Polymorph energy (0 for the lowest one) (eV/atom): 0.000
# DFT formation energy (kcal/mol of atoms): -0.100
data_MgZr2Sc2
_cell_length_a 3.240
_cell_length_b 3.240
_cell_length_c 13.120
_cell_angle_alpha 90.00
_cell_angle_beta 90.00
_cell_angle_gamma 120.00
_space_group_name_H-M_alt 'P 1'
_space_group_IT_number 1
_space_group_name_Hall 'P 1'
loop_
_atom_site_label
_atom_site_type_symbol
_atom_site_fract_x
_atom_site_fract_y
_atom_site_fract_z
Zr1 Zr 0.333 0.667 0.899
Sc1 Sc 0.667 0.333 0.707
Zr2 Zr 0.667 0.333 0.101
Sc2 Sc 0.333 0.667 0.293
Mg1 Mg 0.000 0.000 0.500


# MgZr2Sc, relaxed, DFT PBE-GGA
# Electronic total energy (eV per atom): -6.22
# SG: I-4m2, No. 119
# Fermi-level density of states (states/eV/atom): 1.303
# DFT formation energy (kcal/mol of atoms): 0.852
data_MgZr2Sc
_cell_length_a 5.522
_cell_length_b 5.522
_cell_length_c 5.522
_cell_angle_alpha 132.17
_cell_angle_beta 132.17
_cell_angle_gamma 69.96
_space_group_name_H-M_alt 'P 1'
_space_group_IT_number 1
_space_group_name_Hall 'P 1'
loop_
_atom_site_label
_atom_site_type_symbol
_atom_site_fract_x
_atom_site_fract_y
_atom_site_fract_z
Zr1 Zr 0.000 0.000 0.000
Mg1 Mg 0.500 0.500 0.000
Sc1 Sc 0.750 0.250 0.500
Zr2 Zr 0.250 0.750 0.500


# MgZr2Sc, relaxed, DFT PBE-GGA
# Electronic total energy (eV per atom): -6.24
# SG: Pmm2, No. 25
# Fermi-level density of states (states/eV/atom): 1.211
# DFT formation energy (kcal/mol of atoms): 0.338
data_MgZr2Sc
_cell_length_a 3.233
_cell_length_b 4.404
_cell_length_c 6.530
_cell_angle_alpha 90.00
_cell_angle_beta 90.00
_cell_angle_gamma 90.00
_space_group_name_H-M_alt 'P 1'
_space_group_IT_number 1
_space_group_name_Hall 'P 1'
loop_
_atom_site_label
_atom_site_type_symbol
_atom_site_fract_x
_atom_site_fract_y
_atom_site_fract_z
Sc1 Sc 0.500 0.500 0.757
Mg1 Mg 0.000 0.000 0.499
Zr1 Zr 0.500 0.500 0.235
Zr2 Zr 0.000 0.000 0.008


# MgZr2Sc, relaxed, DFT PBE-GGA
# Electronic total energy (eV per atom): -6.19
# SG: Immm, No. 71
# Fermi-level density of states (states/eV/atom): 1.211
# DFT formation energy (kcal/mol of atoms): 1.438
data_MgZr2Sc
_cell_length_a 6.226
_cell_length_b 6.226
_cell_length_c 6.226
_cell_angle_alpha 148.98
_cell_angle_beta 131.86
_cell_angle_gamma 58.38
_space_group_name_H-M_alt 'P 1'
_space_group_IT_number 1
_space_group_name_Hall 'P 1'
loop_
_atom_site_label
_atom_site_type_symbol
_atom_site_fract_x
_atom_site_fract_y
_atom_site_fract_z
Zr1 Zr 0.015 0.015 0.000
Sc1 Sc 0.750 0.250 0.500
Mg1 Mg 0.250 0.750 0.500
Zr2 Zr 0.485 0.485 0.000


# Mg2ZrSc, relaxed, DFT PBE-GGA
# Electronic total energy (eV per atom): -4.49
# SG: Cm, No. 8
# Fermi-level density of states (states/eV/atom): 1.116
# DFT formation energy (kcal/mol of atoms): 0.692
data_Mg2ZrSc
_cell_length_a 5.921
_cell_length_b 5.921
_cell_length_c 5.557
_cell_angle_alpha 65.76
_cell_angle_beta 65.76
_cell_angle_gamma 31.14
_space_group_name_H-M_alt 'P 1'
_space_group_IT_number 1
_space_group_name_Hall 'P 1'
loop_
_atom_site_label
_atom_site_type_symbol
_atom_site_fract_x
_atom_site_fract_y
_atom_site_fract_z
Mg1 Mg 0.003 0.003 0.922
Sc1 Sc 0.500 0.500 0.431
Zr1 Zr 0.250 0.250 0.319
Mg2 Mg 0.747 0.747 0.828